[1]
Sr2LiCu PBE relaxed; calculated formation energy = -0.011 eV per atom; electronic total energy = -9.4 eV/cell; volume = 34.1 Å³/atom
1.0
2.226 1.285 7.956
-2.226 1.285 7.956
0.000 -2.571 7.956
Sr Li Cu
2 1 1
Cartesian
0.000 0.000 0.000 Sr
0.000 0.000 4.314 Sr
0.000 0.000 18.068 Li
0.000 0.000 10.098 Cu


[2]
SrLiCu PBE relaxed; polymorph energy (0 for the lowest one) = 157 meV per atom; calculated formation energy = 0.115 eV per atom; electronic total energy = -7.3 eV/cell; volume = 29.1 Å³/atom
1.0
0.000 3.521 3.521
3.521 0.000 3.521
3.521 3.521 0.000
Sr Li Cu
1 1 1
Cartesian
0.000 0.000 0.000 Sr
3.521 3.521 3.521 Li
1.760 1.760 1.760 Cu


[3]
SrLi2Cu PBE relaxed; polymorph energy (0 for the lowest one) = 169 meV per atom; calculated formation energy = 0.170 eV per atom; electronic total energy = -8.9 eV/cell; volume = 22.9 Å³/atom
1.0
0.000 3.577 3.577
3.577 0.000 3.577
3.577 3.577 0.000
Sr Li Cu
1 2 1
Cartesian
0.000 0.000 0.000 Sr
1.789 1.789 1.789 Li
5.366 5.366 5.366 Li
3.577 3.577 3.577 Cu


[4]
SrLi2Cu2 PBE relaxed; polymorph energy (0 for the lowest one) = 2 meV per atom; calculated formation energy = -0.024 eV per atom; electronic total energy = -13.8 eV/cell; volume = 21.0 Å³/atom
1.0
-2.118 2.118 5.844
2.118 -2.118 5.844
2.118 2.118 -5.844
Sr Li Cu
1 2 2
Cartesian
0.000 0.000 0.000 Sr
2.118 0.000 2.922 Li
0.000 2.118 2.922 Li
0.000 0.000 4.625 Cu
0.000 0.000 7.063 Cu


[5]
SrLiCu PBE relaxed; polymorph energy (0 for the lowest one) = 11 meV per atom; calculated formation energy = -0.031 eV per atom; electronic total energy = -15.6 eV/cell; volume = 27.2 Å³/atom
1.0
2.150 -8.870 0.000
2.150 8.870 0.000
0.000 0.000 4.280
Sr Li Cu
2 2 2
Cartesian
2.150 7.152 3.210 Sr
2.150 -7.152 1.070 Sr
2.150 3.646 3.210 Li
2.150 -3.646 1.070 Li
2.150 0.635 3.210 Cu
2.150 -0.635 1.070 Cu


[6]
SrLi4Cu PBE relaxed; calculated formation energy = 0.127 eV per atom; electronic total energy = -12.7 eV/cell; volume = 21.8 Å³/atom
1.0
0.000 4.028 4.028
4.028 0.000 4.028
4.028 4.028 0.000
Sr Li Cu
1 4 1
Cartesian
0.000 0.000 0.000 Sr
3.043 3.043 3.043 Li
5.014 5.014 3.043 Li
5.014 3.043 5.014 Li
3.043 5.014 5.014 Li
6.042 6.042 6.042 Cu


[7]
Sr2LiCu PBE relaxed; calculated formation energy = 0.072 eV per atom; electronic total energy = -9.1 eV/cell; volume = 32.0 Å³/atom
1.0
6.700 -1.924 0.000
6.700 1.924 0.000
-2.193 0.000 4.971
Sr Li Cu
2 1 1
Cartesian
0.000 0.000 0.000 Sr
1.223 0.000 3.512 Sr
4.290 0.000 1.902 Li
9.219 0.000 1.112 Cu


[8]
Sr2LiCu PBE relaxed; calculated formation energy = 0.183 eV per atom; electronic total energy = -8.6 eV/cell; volume = 31.8 Å³/atom
1.0
-2.346 2.346 5.778
2.346 -2.346 5.778
2.346 2.346 -5.778
Sr Li Cu
2 1 1
Cartesian
0.000 0.000 0.000 Sr
0.000 2.346 2.889 Sr
0.000 0.000 5.778 Li
2.346 0.000 2.889 Cu